No. 1
A PBEsol-optimized structure of In2TeCl. Source: the Alexandria database, functional meta-GGA SCAN.

It has space group P4/mmm (No. 123), with a = 4.3437 Å, b = 4.3437 Å, c = 6.2959 Å, α = 90.00°, β = 90.00° and γ = 90.00°. The inequivalent atoms are In at (0.0000, 0.0000, 0.0000), In at (0.5000, 0.5000, 0.5000), Te at (0.0000, 0.0000, 0.5000) and Cl at (0.5000, 0.5000, 0.0000).

For the energy above the most stable polymorph in this dataset, the calculation gives 0 meV per atom. The formation energy without anion corrections comes out at -0.501 eV/atom. The calculation puts the total energy at -28.501 eV/atom. For the total magnetization, the calculation gives 0.00 μB/f.u. As for the crystal system: tetragonal.

---

No. 2
A PBEsol-optimized structure of Sb3Mo. Source: the Alexandria database, functional meta-GGA SCAN.

It has space group Pm-3m (No. 221), with a = 4.5125 Å, b = 4.5125 Å, c = 4.5125 Å, α = 90.00°, β = 90.00° and γ = 90.00°. The inequivalent atoms are Sb at (0.0000, 0.0000, 0.5000) and Mo at (0.5000, 0.5000, 0.5000).

For the energy above the most stable polymorph in this dataset, the calculation gives 162 meV per atom. The formation energy without anion corrections comes out at 0.734 eV/atom. The calculation puts the total energy at -35.933 eV/atom. For the total magnetization, the calculation gives 3.08 μB/f.u. As for the crystal system: cubic.

---

No. 3
A PBEsol-optimized structure of Cd3Au. Source: the Alexandria database, functional meta-GGA SCAN.

It has space group P6_3cm (No. 185), with a = 8.0769 Å, b = 8.0769 Å, c = 8.5299 Å, α = 90.00°, β = 90.00° and γ = 120.00°. The inequivalent atoms are Cd at (0.0000, 0.0000, 0.0000), Cd at (0.0000, 0.2921, 0.2591), Cd at (0.0000, 0.3682, 0.9168), Cd at (0.3333, 0.6667, 0.1459) and Au at (0.0000, 0.3288, 0.5873).

The calculation puts the total energy at -40.293 eV/atom. For the total magnetization, the calculation gives 0.00 μB/f.u. As for the formation energy: -0.193 eV/atom. As for the crystal system: hexagonal.